Compound: RbPrBr2
Source: Alexandria via LeMat-Bulk
Functional: PBE
Structure: relaxed

```
RbPrBr2
1.0
4.027 0.000 0.000
-2.014 3.488 0.000
0.000 0.000 32.888
Rb Pr Br
3 3 6
Direct
0.000 0.000 0.000
0.333 0.667 0.667
0.667 0.333 0.333
0.000 0.000 0.500
0.333 0.667 0.167
0.667 0.333 0.833
0.000 0.000 0.104
0.000 0.000 0.896
0.333 0.667 0.563
0.333 0.667 0.771
0.667 0.333 0.229
0.667 0.333 0.437
```

Computed properties:
- energy (eV/cell) = -42.0
- formation energy without anion corrections (meV/atom) = -1223
- ρ (g/cm³) = 4.16